Compound: Li2Th2BRh4
Source: the Alexandria database
Functional: PBE
Structure: relaxed

Output
formation energy from the elements	-683	meV per atom
total DFT energy (no corrections)	-6.767	eV per atom
space-group type	I4/mmm
density of states at the Fermi level	3.9	states/eV/cell

Unit cell a=5.907 b=5.907 c=5.907 alpha=93.83 beta=117.81 gamma=117.81
Atoms (fractional coordinates):
B  0.000  0.000  0.000
Rh  0.491  0.245  0.245
Rh  0.000  0.755  0.245
Rh  0.000  0.245  0.755
Rh  0.509  0.755  0.755
Li  0.000  0.705  0.705
Li  0.000  0.295  0.295
Th  0.500  0.750  0.250
Th  0.500  0.250  0.750